No. 1
DFT (PBE) results for crystalline BaB2C at its relaxed geometry.

Results
* ΔH_f (0 K): 3.756 eV per formula unit
* calculated volume: 12.94 A^3/atom
* total energy: -20.7 eV/f.u.

a = 4.3755 Å, b = 4.3755 Å, c = 10.8162 Å
α = 90.00°, β = 90.00°, γ = 90.00°
Space group I4_1/amd (No. 141, origin choice 2)
Symmetry-distinct sites (fractional):
1 Ba 0.0000 0.2500 0.3750 x4
2 B 0.0000 0.0000 0.0000 x8
3 C 0.0000 0.2500 0.8750 x4

No. 2
DFT (PBE) results for crystalline SrH2Ir at its relaxed geometry.

Results
* calculated volume: 14.06 A^3/atom
* total energy: -18.1 eV/f.u.

a = 4.4919 Å, b = 4.4919 Å, c = 11.1501 Å
α = 90.00°, β = 90.00°, γ = 90.00°
Space group I-42d (No. 122)
Symmetry-distinct sites (fractional):
1 Sr 0.0000 0.0000 0.0000 x4
2 H 0.0135 0.2500 0.6250 x8
3 Ir 0.0000 0.0000 0.5000 x4

No. 3
DFT (PBE) results for crystalline Te2PtW at its relaxed geometry.

Results
* calculated volume: 19.65 A^3/atom
* total energy: -23.8 eV/f.u.
* raw formation energy: 0.380 eV per atom

a = 3.4439 Å, b = 3.4439 Å, c = 6.6267 Å
α = 90.00°, β = 90.00°, γ = 90.00°
Space group P4/mmm (No. 123)
Symmetry-distinct sites (fractional):
1 Te 0.0000 0.0000 0.2421 x2
2 Pt 0.5000 0.5000 0.5000 x1
3 W 0.5000 0.5000 0.0000 x1

No. 4
DFT (PBE) results for crystalline BMo2AuC at its relaxed geometry.

Results
* ΔH_f (0 K): 14.734 eV per formula unit
* calculated volume: 19.48 A^3/atom
* total energy: -26.1 eV/f.u.

a = 5.1350 Å, b = 5.1350 Å, c = 3.6947 Å
α = 90.00°, β = 90.00°, γ = 90.00°
Space group P4/mmm (No. 123)
Symmetry-distinct sites (fractional):
1 B 0.0000 0.0000 0.0000 x1
2 Mo 0.0000 0.5000 0.5000 x2
3 Au 0.5000 0.5000 0.5000 x1
4 C 0.5000 0.5000 0.0000 x1

Which value of calculated volume does entry 2 give? 14.06 A^3/atom